DyMgPa2Ru4 PBE optimized geometry; E_tot = -8.2300 eV per atom; formation energy = -443.5 meV/atom; space-group type = R-3m (166)
1.0
-0.388 -1.389 4.285
3.498 -1.996 2.055
3.849 6.663 4.893
Pa Ru Mg Dy
2 4 1 1
Direct
0.756 0.756 0.732 Pa
0.244 0.244 0.268 Pa
0.604 0.604 0.187 Ru
0.121 0.121 0.636 Ru
0.396 0.396 0.813 Ru
0.879 0.879 0.364 Ru
0.500 0.500 0.500 Mg
0.000 0.000 0.000 Dy